VASP calculation (PBE) on an optimized crystal structure of Tb12PmDy6.

Results
Calculated formation energy ... 0.43 eV per atom
VASP energy ... -4.194 eV per atom
Symmetry ... R-3m, No. 166

Unit cell a=8.821 b=8.821 c=8.821 alpha=98.96 beta=98.96 gamma=98.96
Element x y z (fractional)
Tb: 0.500 0.117 0.883
Tb: 0.469 0.469 0.183
Tb: 0.531 0.817 0.531
Tb: 0.117 0.883 0.500
Tb: 0.469 0.183 0.469
Tb: 0.817 0.531 0.531
Tb: 0.500 0.883 0.117
Tb: 0.883 0.117 0.500
Tb: 0.183 0.469 0.469
Tb: 0.531 0.531 0.817
Tb: 0.117 0.500 0.883
Tb: 0.883 0.500 0.117
Dy: 0.205 0.205 0.744
Dy: 0.744 0.205 0.205
Dy: 0.256 0.795 0.795
Dy: 0.205 0.744 0.205
Dy: 0.795 0.256 0.795
Dy: 0.795 0.795 0.256
Pm: 0.000 0.000 0.000